[1]
## CsFe2RhCl8 (GGA-PBE)

Data for a relaxed CsFe2RhCl8 crystal.

```
CsFe2RhCl8
1.0
-4.1055 5.6314 0.8552
-6.9850 -0.7136 -0.0098
-3.5744 0.3132 9.6021
Cs Fe Rh Cl
1 2 1 8
direct
0.0000 0.0000 0.0000
0.7580 0.7580 0.7259
0.2420 0.2420 0.2741
0.5000 0.5000 0.5000
0.6799 0.6799 0.9603
0.3201 0.3201 0.0397
0.3966 0.3952 0.3383
0.6048 0.6034 0.6617
0.1302 0.6048 0.6617
0.3952 0.8698 0.3383
0.8698 0.3966 0.3383
0.6034 0.1302 0.6617
```

Computed properties:
Crystal system ... trigonal

[2]
## CsFe2RuCl (GGA-PBE)

Data for a relaxed CsFe2RuCl crystal.

```
CsFe2RuCl
1.0
-0.5834 -3.3726 -3.6572
4.0088 1.8619 -2.3565
3.3876 -3.6811 2.8543
Cs Ru Fe Cl
1 1 2 1
direct
0.0000 0.0000 0.0000
0.5000 0.5000 0.5000
0.0000 0.5000 0.0000
0.5000 0.0000 0.0000
0.0000 0.0000 0.5000
```

Computed properties:
Crystal system ... tetragonal
DOS at the Fermi energy ... 8.52 states/eV/cell

[3]
## CsFeSbCl6 (GGA-PBE)

Data for a relaxed CsFeSbCl6 crystal.

```
CsFeSbCl6
1.0
6.8097 0.0003 0.0087
3.4051 5.9002 0.0048
0.0098 -0.0008 7.7567
Cs Fe Sb Cl
1 1 1 6
direct
0.0001 0.9997 0.0000
0.6673 0.6653 0.5000
0.3337 0.3327 0.5000
0.9793 0.3879 0.3115
0.3901 0.9796 0.6899
0.6327 0.3880 0.6885
0.9796 0.6337 0.6880
0.3867 0.6337 0.3120
0.6303 0.9795 0.3101
```

Computed properties:
Crystal system ... monoclinic
DOS at the Fermi energy ... 6.32 states/eV/cell

[4]
## Cs2FeSbCl6 (GGA-PBE)

Data for a relaxed Cs2FeSbCl6 crystal.

```
Cs2FeSbCl6
1.0
7.4492 0.0000 0.0000
0.0000 7.4492 0.0000
3.7246 3.7246 5.6582
Cs Sb Fe Cl
2 1 1 6
direct
0.7500 0.2500 0.5000
0.2500 0.7500 0.5000
0.0000 0.0000 0.0000
0.5000 0.5000 0.0000
0.2938 0.2938 0.4124
0.7062 0.7062 0.5876
0.2534 0.2534 0.0000
0.7466 0.7466 0.0000
0.7466 0.2534 0.0000
0.2534 0.7466 0.0000
```

Computed properties:
Crystal system ... tetragonal
DOS at the Fermi energy ... 0.00 states/eV/cell

[5]
## Cs2FeSeCl6 (GGA-PBE)

Data for a relaxed Cs2FeSeCl6 crystal.

```
Cs2FeSeCl6
1.0
-2.6033 6.1968 -3.8645
-4.7541 -4.5524 -4.0971
-7.3741 1.4847 -0.4291
Cs Fe Se Cl
2 1 1 6
direct
0.7500 0.2500 0.5000
0.2500 0.7500 0.5000
0.5000 0.5000 0.0000
0.0000 0.0000 0.0000
0.2363 0.2363 0.5274
0.7637 0.7637 0.4726
0.2885 0.2885 0.0000
0.7115 0.7115 0.0000
0.7115 0.2885 0.0000
0.2885 0.7115 0.0000
```

Computed properties:
Crystal system ... tetragonal
DOS at the Fermi energy ... 6.30 states/eV/cell

[6]
## Cs2FeSnCl6 (GGA-PBE)

Data for a relaxed Cs2FeSnCl6 crystal.

```
Cs2FeSnCl6
1.0
-5.4330 0.6019 5.1681
-3.5841 -5.8494 -3.0866
-1.8287 -5.9573 4.2462
Cs Cl Sn Fe
2 6 1 1
direct
0.7500 0.2500 0.5000
0.2500 0.7500 0.5000
0.2643 0.2643 0.4715
0.7357 0.7357 0.5285
0.2664 0.2664 0.0000
0.7336 0.7336 0.0000
0.7336 0.2664 0.0000
0.2664 0.7336 0.0000
0.0000 0.0000 0.0000
0.5000 0.5000 0.0000
```

Computed properties:
Crystal system ... tetragonal
DOS at the Fermi energy ... 21.99 states/eV/cell

[7]
## CsFeSn2Cl8 (GGA-PBE)

Data for a relaxed CsFeSn2Cl8 crystal.

```
CsFeSn2Cl8
1.0
-1.1127 -2.6638 6.0986
-5.1990 -4.3750 -2.6059
1.9398 -8.3719 -3.6889
Cs Fe Sn Cl
1 1 2 8
direct
0.0000 0.0000 0.5000
0.0000 0.0000 0.0000
0.5423 0.2567 0.7616
0.4577 0.7433 0.2384
0.0596 0.6701 0.2518
0.7646 0.8617 0.9067
0.7606 0.0982 0.1160
0.9404 0.3299 0.7482
0.2354 0.1383 0.0933
0.2394 0.9018 0.8840
0.4787 0.7324 0.5231
0.5213 0.2676 0.4769
```

Computed properties:
Crystal system ... triclinic
DOS at the Fermi energy ... 9.63 states/eV/cell

[8]
## Cs2SrFeCl6 (GGA-PBE)

Data for a relaxed Cs2SrFeCl6 crystal.

```
Cs2SrFeCl6
1.0
7.5813 0.0000 0.0000
0.0000 7.5813 0.0000
3.7907 3.7907 5.3928
Cs Sr Fe Cl
2 1 1 6
direct
0.7500 0.2500 0.5000
0.2500 0.7500 0.5000
0.0000 0.0000 0.0000
0.5000 0.5000 0.0000
0.2658 0.2658 0.4683
0.7342 0.7342 0.5317
0.2679 0.2679 0.0000
0.7321 0.7321 0.0000
0.7321 0.2679 0.0000
0.2679 0.7321 0.0000
```

Computed properties:
Crystal system ... tetragonal
DOS at the Fermi energy ... 15.10 states/eV/cell

[9]
## CsTbFe2Cl8 (GGA-PBE)

Data for a relaxed CsTbFe2Cl8 crystal.

```
CsTbFe2Cl8
1.0
-0.1554 -5.8905 2.8643
3.7584 -4.3171 -3.1879
8.3003 1.5789 5.7781
Cs Tb Fe Cl
1 1 2 8
direct
0.0000 0.0000 0.5000
0.0000 0.0000 0.0000
0.6205 0.6205 0.2057
0.3795 0.3795 0.7943
0.7622 0.2595 0.8084
0.7533 0.7533 0.0130
0.6877 0.6877 0.4030
0.3123 0.3123 0.5970
0.2467 0.2467 0.9870
0.2595 0.7622 0.8084
0.7405 0.2378 0.1916
0.2378 0.7405 0.1916
```

Computed properties:
Crystal system ... monoclinic
DOS at the Fermi energy ... 13.62 states/eV/cell

[10]
## CsTiFe2Cl8 (GGA-PBE)

Data for a relaxed CsTiFe2Cl8 crystal.

```
CsTiFe2Cl8
1.0
6.3424 -0.2590 0.1646
2.6959 5.7468 0.1646
0.7361 0.4469 9.9378
Cs Ti Fe Cl
1 1 2 8
direct
0.0000 0.0000 0.5000
0.0000 0.0000 0.0000
0.6217 0.6217 0.1930
0.3783 0.3783 0.8070
0.7710 0.2565 0.8228
0.7705 0.7705 0.0092
0.6803 0.6803 0.3998
0.3197 0.3197 0.6002
0.2295 0.2295 0.9908
0.2565 0.7710 0.8228
0.7435 0.2290 0.1772
0.2290 0.7435 0.1772
```

Computed properties:
Crystal system ... monoclinic
DOS at the Fermi energy ... 12.94 states/eV/cell

[11]
## CsTiFeCl6 (GGA-PBE)

Data for a relaxed CsTiFeCl6 crystal.

```
CsTiFeCl6
1.0
6.4813 -0.0022 0.0003
3.2388 5.6171 0.0043
0.0003 0.0067 7.7860
Cs Ti Fe Cl
1 1 1 6
direct
0.9997 0.0000 0.0000
0.3330 0.3327 0.5000
0.6665 0.6662 0.5000
0.0061 0.3763 0.3204
0.3781 0.0063 0.6805
0.6161 0.3775 0.6801
0.0062 0.6186 0.6788
0.3774 0.6161 0.3198
0.6166 0.0063 0.3202
```

Computed properties:
Crystal system ... triclinic
DOS at the Fermi energy ... 11.95 states/eV/cell

[12]
## CsTl2FeCl6 (GGA-PBE)

Data for a relaxed CsTl2FeCl6 crystal.

```
CsTl2FeCl6
1.0
7.1425 0.0000 0.0974
0.0000 8.3617 0.0000
0.1943 0.0000 10.5553
Cs Tl Fe Cl
2 4 2 12
direct
0.5000 0.0000 0.0000
0.0000 0.5000 0.5000
0.0147 0.9688 0.2726
0.5147 0.5312 0.7726
0.9853 0.0312 0.7274
0.4853 0.4688 0.2274
0.5000 0.0000 0.5000
0.0000 0.5000 0.0000
0.2720 0.6453 0.0101
0.7720 0.8547 0.5101
0.7280 0.3547 0.9899
0.2280 0.1453 0.4899
0.3607 0.7923 0.3946
0.8607 0.7077 0.8946
0.6393 0.2077 0.6054
0.1393 0.2923 0.1054
0.8952 0.6082 0.1892
0.3952 0.8918 0.6892
0.1048 0.3918 0.8108
0.6048 0.1082 0.3108
```

Computed properties:
Crystal system ... monoclinic
DOS at the Fermi energy ... 20.79 states/eV/cell

[13]
## CsTl2FeCl5 (GGA-PBE)

Data for a relaxed CsTl2FeCl5 crystal.

```
CsTl2FeCl5
1.0
-0.8135 8.7478 -0.4537
-0.8645 0.3732 8.7468
8.1593 -3.8439 -3.4536
Cs Tl Fe Cl
2 4 2 10
direct
0.2500 0.2500 0.5000
0.7500 0.7500 0.5000
0.1701 0.3299 0.0000
0.6701 0.1701 0.0000
0.3299 0.8299 0.0000
0.8299 0.6701 0.0000
0.2500 0.7500 0.5000
0.7500 0.2500 0.5000
0.0090 0.5090 0.3036
0.7054 0.2054 0.6964
0.9910 0.4910 0.6964
0.2054 0.9910 0.6964
0.4910 0.7054 0.6964
0.7946 0.0090 0.3036
0.5090 0.2946 0.3036
0.2946 0.7946 0.3036
0.5000 0.5000 0.0000
0.0000 0.0000 0.0000
```

Computed properties:
Crystal system ... tetragonal
DOS at the Fermi energy ... 13.56 states/eV/cell

[14]
## CsTlFe2Cl8 (GGA-PBE)

Data for a relaxed CsTlFe2Cl8 crystal.

```
CsTlFe2Cl8
1.0
-6.5041 0.9698 0.5738
-3.3263 -5.5008 -1.4998
-0.3959 -3.5528 10.4797
Cs Tl Fe Cl
1 1 2 8
direct
0.0000 0.0000 0.5000
0.0000 0.0000 0.0000
0.5796 0.5796 0.2354
0.4204 0.4204 0.7646
0.7804 0.2986 0.7635
0.7010 0.7010 0.0660
0.6760 0.6760 0.4030
0.3240 0.3240 0.5970
0.2990 0.2990 0.9340
0.2986 0.7804 0.7635
0.7014 0.2196 0.2365
0.2196 0.7014 0.2365
```

Computed properties:
Crystal system ... monoclinic

[15]
## CsVFe2Cl8 (GGA-PBE)

Data for a relaxed CsVFe2Cl8 crystal.

```
CsVFe2Cl8
1.0
6.3024 -0.2931 0.1968
2.6472 5.7270 0.1968
0.7836 0.4758 9.8560
Cs V Fe Cl
1 1 2 8
direct
0.0000 0.0000 0.5000
0.0000 0.0000 0.0000
0.6180 0.6180 0.1900
0.3820 0.3820 0.8100
0.7759 0.2615 0.8198
0.7684 0.7684 0.0016
0.6779 0.6779 0.3967
0.3221 0.3221 0.6033
0.2316 0.2316 0.9984
0.2615 0.7759 0.8198
0.7385 0.2241 0.1802
0.2241 0.7385 0.1802
```

Computed properties:
Crystal system ... monoclinic
DOS at the Fermi energy ... 19.42 states/eV/cell

[16]
## CsYFe2Cl8 (GGA-PBE)

Data for a relaxed CsYFe2Cl8 crystal.

```
CsYFe2Cl8
1.0
-3.2899 -5.4618 1.5615
0.7896 -2.7286 5.9182
-8.3907 2.8452 6.0719
Cs Y Fe Cl
1 1 2 8
direct
0.5000 0.5000 0.5000
0.0000 0.0000 0.0000
0.2565 0.2565 0.2306
0.7435 0.7435 0.7694
0.1827 0.1827 0.4518
0.6189 0.2773 0.1556
0.8173 0.8173 0.5482
0.9482 0.6189 0.1556
0.0518 0.3811 0.8444
0.2773 0.9482 0.1556
0.7227 0.0518 0.8444
0.3811 0.7227 0.8444
```

Computed properties:
Crystal system ... trigonal
DOS at the Fermi energy ... 13.58 states/eV/cell

[17]
## Cs2YFeCl6 (GGA-PBE)

Data for a relaxed Cs2YFeCl6 crystal.

```
Cs2YFeCl6
1.0
7.3981 0.0000 0.0000
0.0000 7.3981 0.0000
3.6991 3.6991 5.2336
Cs Y Fe Cl
2 1 1 6
direct
0.7500 0.2500 0.5000
0.2500 0.7500 0.5000
0.0000 0.0000 0.0000
0.5000 0.5000 0.0000
0.2549 0.2549 0.4902
0.7451 0.7451 0.5098
0.2550 0.2550 0.0000
0.7450 0.7450 0.0000
0.7450 0.2550 0.0000
0.2550 0.7450 0.0000
```

Computed properties:
Crystal system ... cubic
DOS at the Fermi energy ... 14.90 states/eV/cell

[18]
## CsZnFe2Cl8 (GGA-PBE)

Data for a relaxed CsZnFe2Cl8 crystal.

```
CsZnFe2Cl8
1.0
-1.8776 5.1433 3.1729
-6.2959 0.6319 -0.0967
-1.8005 -4.5379 8.6945
Cs Zn Fe Cl
1 1 2 8
direct
0.0000 0.0000 0.5000
0.0000 0.0000 0.0000
0.6135 0.6135 0.1943
0.3865 0.3865 0.8057
0.7718 0.2631 0.8147
0.7651 0.7651 0.0092
0.6780 0.6780 0.3962
0.3220 0.3220 0.6038
0.2349 0.2349 0.9908
0.2631 0.7718 0.8147
0.7369 0.2282 0.1853
0.2282 0.7369 0.1853
```

Computed properties:
Crystal system ... monoclinic
DOS at the Fermi energy ... 8.17 states/eV/cell

[19]
## CsGaCl4 (GGA-PBE)

Data for a relaxed CsGaCl4 crystal.

```
CsGaCl4
1.0
7.2988 0.0000 0.0000
0.0000 9.7661 0.0000
0.0000 0.0000 12.0664
Cs Ga Cl
4 4 16
direct
0.7500 0.6595 0.3203
0.7500 0.8405 0.8203
0.2500 0.1595 0.1797
0.2500 0.3405 0.6797
0.7500 0.3019 0.9333
0.2500 0.8019 0.5667
0.2500 0.6981 0.0667
0.7500 0.1981 0.4333
0.2500 0.5409 0.1973
0.7500 0.0409 0.3027
0.2500 0.8877 0.3989
0.5050 0.3289 0.4118
0.7500 0.1123 0.6011
0.7500 0.3877 0.1011
0.2500 0.6123 0.8989
0.4950 0.8289 0.0882
0.9950 0.3289 0.4118
0.4950 0.6711 0.5882
0.9950 0.1711 0.9118
0.5050 0.1711 0.9118
0.7500 0.4591 0.8027
0.0050 0.8289 0.0882
0.0050 0.6711 0.5882
0.2500 0.9591 0.6973
```

Computed properties:
Crystal system ... orthorhombic
DOS at the Fermi energy ... 0.00 states/eV/cell

[20]
## Cs3Ga2Cl8 (GGA-PBE)

Data for a relaxed Cs3Ga2Cl8 crystal.

```
Cs3Ga2Cl8
1.0
-5.3022 -3.7899 -3.6672
-4.8531 -4.2495 3.7835
-9.3601 4.8841 0.8653
Cs Ga Cl
3 2 8
direct
0.0000 0.0000 0.0000
0.2092 0.2092 0.3717
0.7908 0.7908 0.6283
0.4099 0.4099 0.7699
0.5901 0.5901 0.2301
0.3309 0.3309 0.0070
0.6691 0.6691 0.9930
0.2657 0.7747 0.6936
0.7747 0.2657 0.6936
0.2656 0.2656 0.6936
0.2253 0.7343 0.3064
0.7343 0.2253 0.3064
0.7344 0.7344 0.3064
```

Computed properties:
Crystal system ... trigonal
DOS at the Fermi energy ... 3.42 states/eV/cell

| no. | E (eV per cell) | uncorrected formation energy (meV/atom) |
| --- | --- | --- |
| 1 | -50.276 | -864 |
| 2 | -16.548 | 2471 |
| 3 | -34.204 | -1076 |
| 4 | -37.118 | -1175 |
| 5 | -35.262 | -1053 |
| 6 | -38.491 | -1324 |
| 7 | -44.697 | -1050 |
| 8 | -40.399 | -1747 |
| 9 | -54.316 | -1428 |
| 10 | -55.003 | -1213 |
| 11 | -40.758 | -1385 |
| 12 | -70.693 | -1022 |
| 13 | -67.343 | -1154 |
| 14 | -47.932 | -1084 |
| 15 | -54.598 | -1077 |
| 16 | -56.170 | -1429 |
| 17 | -44.542 | -1683 |
| 18 | -46.482 | -1055 |
| 19 | -81.969 | -1538 |
| 20 | -42.806 | -1494 |